Density functional theory data (PBE) for CsHgPt3 after structural relaxation.

Energy of formation (eV/atom): 0.87
Fermi-level density of states (states/eV per atom): 0.797
Excess energy over the best structure of this formula in the dataset (eV/atom): 0.000

Lattice parameters (Å, degrees): 5.2052 5.2052 5.2052 90.00 90.00 90.00
With the nearest neighbours (Å) after each atom.
Space group Pm-3m (No. 221)
Symmetry-distinct sites (fractional):
Cs1 0.0000 0.0000 0.0000  12 Pt 3.68
Hg1 0.5000 0.5000 0.5000  6 Pt 2.60
Pt1 0.0000 0.5000 0.5000  2 Hg 2.60